1.
Ho3Ni7B2: optimized geometry, GGA-PBE.

Lattice parameters (Å, degrees): 5.0671 5.0671 14.3006 90.00 90.00 120.00
Atoms (fractional coordinates):
Ni 0.8344 0.1656 0.6491
Ni 0.6688 0.8344 0.3509
Ni 0.8344 0.6688 0.6491
Ni 0.0000 0.0000 0.0000
Ni 0.8344 0.1656 0.8509
Ni 0.1656 0.3312 0.3509
Ni 0.0000 0.0000 0.5000
Ni 0.1656 0.3312 0.1491
Ni 0.3312 0.1656 0.8509
Ni 0.3312 0.1656 0.6491
Ni 0.6688 0.8344 0.1491
Ni 0.1656 0.8344 0.1491
Ni 0.8344 0.6688 0.8509
Ni 0.1656 0.8344 0.3509
Ho 0.6667 0.3333 0.2500
Ho 0.3333 0.6667 0.5321
Ho 0.3333 0.6667 0.7500
Ho 0.6667 0.3333 0.0321
Ho 0.6667 0.3333 0.4679
Ho 0.3333 0.6667 0.9679
B 0.6667 0.3333 0.7500
B 0.0000 0.0000 0.2500
B 0.0000 0.0000 0.7500
B 0.3333 0.6667 0.2500

Properties
Space-group type: No. 194
DFT total energy, Ry/atom: -0.4521
Crystal system: hexagonal



2.
HoNi2B: optimized geometry, GGA-PBE.

Lattice parameters (Å, degrees): 3.6593 3.6593 5.2141 69.46 69.46 60.00
Atoms (fractional coordinates):
B 0.0000 0.0000 0.0000
Ni 0.7004 0.7004 0.8987
Ni 0.2996 0.2996 0.1013
Ho 0.5000 0.5000 0.5000

Properties
Space-group type: No. 166
DFT total energy, Ry/atom: -0.4433
Crystal system: trigonal



| no. | DFT formation energy (eV per formula unit) |
| --- | --- |
| 1 | -6.2 |
| 2 | -1.3 |